one.
The following is a PBE calculation of crystalline MnFeNi2N at its relaxed geometry, from the Alexandria database.

a b c (Å): 3.787 3.787 3.778
angles (deg): 90.00 90.00 90.00
Sites, in units of the cell vectors:
Mn1 0.000 0.000 0.000
Fe1 0.500 0.500 0.000
Ni1 0.000 0.500 0.500
Ni2 0.500 0.000 0.500
N1 0.500 0.500 0.500

Calculated values
- Symmetry: P4/mmm (123)
- DOS at the Fermi energy: 4.3 states/eV/f.u.

=====

two.
The following is a PBE calculation of crystalline MnFeNi2N at its relaxed geometry, from the Alexandria database.

a b c (Å): 3.771 3.771 3.779
angles (deg): 90.00 90.00 90.00
Sites, in units of the cell vectors:
Mn1 0.000 0.000 0.000
Fe1 0.500 0.500 0.000
Ni1 0.000 0.500 0.500
Ni2 0.500 0.000 0.500
N1 0.000 0.000 0.500

Calculated values
- Symmetry: P4/mmm (123)
- DOS at the Fermi energy: 4.8 states/eV/f.u.

=====

Most stable: one. Least stable: two.

=====

one.
The following is a PBE calculation of crystalline MnFeS2N at its relaxed geometry, from the Alexandria database.

a b c (Å): 4.563 4.563 3.350
angles (deg): 90.00 90.00 90.00
Sites, in units of the cell vectors:
Mn1 0.000 0.000 0.000
Fe1 0.500 0.500 0.500
S1 0.000 0.500 0.500
S2 0.500 0.000 0.500
N1 0.500 0.500 0.000

Calculated values
- Symmetry: P4/mmm (123)
- DOS at the Fermi energy: 5.3 states/eV/f.u.

=====

two.
The following is a PBE calculation of crystalline MnFeS2N at its relaxed geometry, from the Alexandria database.

a b c (Å): 4.698 4.698 3.434
angles (deg): 90.00 90.00 90.00
Sites, in units of the cell vectors:
Mn1 0.000 0.000 0.000
Fe1 0.500 0.500 0.500
S1 0.000 0.500 0.000
S2 0.500 0.000 0.000
N1 0.000 0.000 0.500

Calculated values
- Symmetry: P4/mmm (123)
- DOS at the Fermi energy: 5.1 states/eV/f.u.

=====

Most stable: two. Least stable: one.

=====

one.
The following is a PBE calculation of crystalline NaMnFe2 at its relaxed geometry, from the Alexandria database.

a b c (Å): 4.069 4.069 4.069
angles (deg): 60.00 60.00 60.00
Sites, in units of the cell vectors:
Na1 0.000 0.000 0.000
Mn1 0.500 0.500 0.500
Fe1 0.250 0.250 0.250
Fe2 0.750 0.750 0.750

Calculated values
- Symmetry: Fm-3m (225)
- DOS at the Fermi energy: 4.0 states/eV/f.u.

=====

two.
The following is a PBE calculation of crystalline NaMnFe2 at its relaxed geometry, from the Alexandria database.

a b c (Å): 5.308 5.308 5.308
angles (deg): 104.19 104.19 120.64
Sites, in units of the cell vectors:
Na1 0.000 0.000 0.000
Na2 0.750 0.250 0.500
Mn1 0.250 0.750 0.500
Mn2 0.500 0.500 0.000
Fe1 0.188 0.625 0.063
Fe2 0.375 0.438 0.563
Fe3 0.562 0.125 0.937
Fe4 0.875 0.812 0.437

Calculated values
- Symmetry: I-42d (122)
- DOS at the Fermi energy: 2.1 states/eV/f.u.

=====

Most stable: one. Least stable: two.

=====

one.
The following is a PBE calculation of crystalline Mn4NbFe at its relaxed geometry, from the Alexandria database.

a b c (Å): 4.709 4.709 4.709
angles (deg): 60.00 60.00 60.00
Sites, in units of the cell vectors:
Mn1 0.124 0.124 0.124
Mn2 0.124 0.124 0.629
Mn3 0.124 0.629 0.124
Mn4 0.629 0.124 0.124
Nb1 0.500 0.500 0.500
Fe1 0.750 0.750 0.750

Calculated values
- Symmetry: F-43m (216)
- DOS at the Fermi energy: 5.7 states/eV/f.u.

=====

two.
The following is a PBE calculation of crystalline Mn4NbFe at its relaxed geometry, from the Alexandria database.

a b c (Å): 6.908 3.553 6.157
angles (deg): 90.00 90.00 90.00
Sites, in units of the cell vectors:
Mn1 0.000 0.000 0.000
Mn2 0.045 0.500 0.314
Mn3 0.250 0.500 0.945
Mn4 0.455 0.500 0.314
Mn5 0.500 0.000 0.000
Mn6 0.545 0.500 0.686
Mn7 0.750 0.500 0.055
Mn8 0.955 0.500 0.686
Nb1 0.250 0.000 0.618
Nb2 0.750 0.000 0.382
Fe1 0.250 0.000 0.230
Fe2 0.750 0.000 0.770

Calculated values
- Symmetry: Pmma (51)
- DOS at the Fermi energy: 6.7 states/eV/f.u.

=====

Most stable: one. Least stable: two.

=====

one.
The following is a PBE calculation of crystalline MnNb2Fe at its relaxed geometry, from the Alexandria database.

a b c (Å): 8.019 8.019 8.019
angles (deg): 21.49 21.49 21.49
Sites, in units of the cell vectors:
Mn1 0.000 0.000 0.000
Nb1 0.251 0.251 0.251
Nb2 0.749 0.749 0.749
Fe1 0.500 0.500 0.500

Calculated values
- Symmetry: R-3m (166)
- DOS at the Fermi energy: 3.6 states/eV/f.u.

=====

two.
The following is a PBE calculation of crystalline MnNb2Fe at its relaxed geometry, from the Alexandria database.

a b c (Å): 5.571 5.571 5.571
angles (deg): 103.30 103.30 122.68
Sites, in units of the cell vectors:
Mn1 0.000 0.000 0.000
Mn2 0.750 0.250 0.500
Nb1 0.146 0.625 0.021
Nb2 0.375 0.396 0.521
Nb3 0.604 0.125 0.979
Nb4 0.875 0.854 0.479
Fe1 0.250 0.750 0.500
Fe2 0.500 0.500 0.000

Calculated values
- Symmetry: I-42d (122)
- DOS at the Fermi energy: 4.6 states/eV/f.u.

=====

three.
The following is a PBE calculation of crystalline MnNb2Fe at its relaxed geometry, from the Alexandria database.

a b c (Å): 3.075 3.075 6.129
angles (deg): 90.00 90.00 90.00
Sites, in units of the cell vectors:
Mn1 0.000 0.000 0.000
Nb1 0.500 0.500 0.249
Nb2 0.500 0.500 0.751
Fe1 0.000 0.000 0.500

Calculated values
- Symmetry: P4/mmm (123)
- DOS at the Fermi energy: 3.0 states/eV/f.u.

=====

four.
The following is a PBE calculation of crystalline MnNb2Fe at its relaxed geometry, from the Alexandria database.

a b c (Å): 4.346 4.346 4.346
angles (deg): 60.00 60.00 60.00
Sites, in units of the cell vectors:
Mn1 0.000 0.000 0.000
Nb1 0.250 0.250 0.250
Nb2 0.750 0.750 0.750
Fe1 0.500 0.500 0.500

Calculated values
- Symmetry: Fm-3m (225)
- DOS at the Fermi energy: 2.8 states/eV/f.u.

=====

Most stable: three. Least stable: two.

=====

one.
The following is a PBE calculation of crystalline MnNbFe2 at its relaxed geometry, from the Alexandria database.

a b c (Å): 9.536 9.536 9.536
angles (deg): 158.69 158.69 30.32
Sites, in units of the cell vectors:
Mn1 0.000 0.000 0.000
Mn2 0.750 0.250 0.500
Nb1 0.250 0.750 0.500
Nb2 0.500 0.500 0.000
Fe1 0.107 0.625 0.982
Fe2 0.375 0.357 0.482
Fe3 0.643 0.125 0.018
Fe4 0.875 0.893 0.518

Calculated values
- Symmetry: I-42d (122)
- DOS at the Fermi energy: 4.6 states/eV/f.u.

=====

two.
The following is a PBE calculation of crystalline MnNbFe2 at its relaxed geometry, from the Alexandria database.

a b c (Å): 4.193 4.193 4.193
angles (deg): 60.00 60.00 60.00
Sites, in units of the cell vectors:
Mn1 0.000 0.000 0.000
Nb1 0.500 0.500 0.500
Fe1 0.250 0.250 0.250
Fe2 0.750 0.750 0.750

Calculated values
- Symmetry: Fm-3m (225)
- DOS at the Fermi energy: 4.7 states/eV/f.u.

=====

three.
The following is a PBE calculation of crystalline MnNbFe2 at its relaxed geometry, from the Alexandria database.

a b c (Å): 3.620 3.620 4.335
angles (deg): 90.00 90.00 94.77
Sites, in units of the cell vectors:
Mn1 0.000 0.000 0.000
Nb1 0.500 0.500 0.000
Fe1 0.233 0.767 0.500
Fe2 0.767 0.233 0.500

Calculated values
- Symmetry: Cmmm (65)
- DOS at the Fermi energy: 4.1 states/eV/f.u.

=====

four.
The following is a PBE calculation of crystalline MnNbFe2 at its relaxed geometry, from the Alexandria database.

a b c (Å): 2.674 2.674 6.937
angles (deg): 90.00 90.00 90.00
Sites, in units of the cell vectors:
Mn1 0.000 0.000 0.000
Nb1 0.000 0.000 0.500
Fe1 0.500 0.500 0.209
Fe2 0.500 0.500 0.791

Calculated values
- Symmetry: P4/mmm (123)
- DOS at the Fermi energy: 4.5 states/eV/f.u.

=====

Most stable: two. Least stable: one.

=====

one.
The following is a PBE calculation of crystalline MnNb2FeW at its relaxed geometry, from the Alexandria database.

a b c (Å): 4.517 4.517 4.422
angles (deg): 90.00 90.00 90.00
Sites, in units of the cell vectors:
Mn1 0.000 0.000 0.000
Nb1 0.000 0.500 0.500
Nb2 0.500 0.000 0.500
Fe1 0.500 0.500 0.500
W1 0.500 0.500 0.000

Calculated values
- Symmetry: P4/mmm (123)
- DOS at the Fermi energy: 8.6 states/eV/f.u.

=====

two.
The following is a PBE calculation of crystalline MnNb2FeW at its relaxed geometry, from the Alexandria database.

a b c (Å): 4.844 4.844 4.375
angles (deg): 90.00 90.00 90.00
Sites, in units of the cell vectors:
Mn1 0.000 0.000 0.000
Nb1 0.000 0.500 0.500
Nb2 0.500 0.000 0.500
Fe1 0.500 0.500 0.000
W1 0.500 0.500 0.500

Calculated values
- Symmetry: P4/mmm (123)
- DOS at the Fermi energy: 6.8 states/eV/f.u.

=====

Most stable: one. Least stable: two.

=====

one.
The following is a PBE calculation of crystalline Mn3FeNi at its relaxed geometry, from the Alexandria database.

a b c (Å): 4.243 4.243 4.243
angles (deg): 90.00 90.00 90.00
Sites, in units of the cell vectors:
Mn1 0.000 0.000 0.500
Mn2 0.000 0.500 0.000
Mn3 0.500 0.000 0.000
Fe1 0.000 0.000 0.000
Ni1 0.500 0.500 0.500

Calculated values
- Symmetry: Pm-3m (221)
- DOS at the Fermi energy: 8.2 states/eV/f.u.

=====

two.
The following is a PBE calculation of crystalline Mn3FeNi at its relaxed geometry, from the Alexandria database.

a b c (Å): 4.107 4.107 4.107
angles (deg): 90.00 90.00 90.00
Sites, in units of the cell vectors:
Mn1 0.000 0.000 0.500
Mn2 0.000 0.500 0.000
Mn3 0.500 0.000 0.000
Fe1 0.500 0.500 0.500
Ni1 0.000 0.000 0.000

Calculated values
- Symmetry: Pm-3m (221)
- DOS at the Fermi energy: 14.1 states/eV/f.u.

=====

Most stable: one. Least stable: two.